[1]
Below is crystalline Nb3Fe8Re at its relaxed geometry, with properties calculated at the GGA-PBE level.

Output
V ... 13.0 Å³/atom
Calculated density ... 9.74 g/cm³
Space group ... No. 160
M_tot ... 11.7 Bohr magnetons per cell
Formation energy ... -1.27 eV per formula unit

Lattice parameters (Å, degrees): 8.300 8.300 8.300 33.53 33.53 33.53
Sites, in units of the cell vectors:
1 Nb 0.000 0.000 0.000
2 Nb 0.128 0.128 0.128
3 Nb 0.619 0.619 0.619
4 Fe 0.060 0.060 0.563
5 Fe 0.060 0.563 0.060
6 Fe 0.061 0.561 0.561
7 Fe 0.311 0.311 0.311
8 Fe 0.561 0.061 0.561
9 Fe 0.561 0.561 0.061
10 Fe 0.563 0.060 0.060
11 Fe 0.811 0.811 0.811
12 Re 0.497 0.497 0.497



[2]
Below is crystalline Nb2Fe3Re at its relaxed geometry, with properties calculated at the GGA-PBE level.

Output
V ... 13.9 Å³/atom
Calculated density ... 10.72 g/cm³
Space group ... No. 12
M_tot ... 0.2 Bohr magnetons per cell
Formation energy ... -0.79 eV per formula unit

Lattice parameters (Å, degrees): 4.882 4.882 4.907 119.43 119.43 60.30
Sites, in units of the cell vectors:
1 Nb 0.124 0.124 0.374
2 Nb 0.876 0.876 0.626
3 Fe 0.000 0.500 0.000
4 Fe 0.500 0.000 0.000
5 Fe 0.500 0.500 0.500
6 Re 0.500 0.500 0.000



[3]
Below is crystalline NbFeReRu at its relaxed geometry, with properties calculated at the GGA-PBE level.

Output
V ... 15.0 Å³/atom
Calculated density ... 12.09 g/cm³
Space group ... No. 216
M_tot ... 3.7 Bohr magnetons per cell
Formation energy ... 0.14 eV per formula unit

Lattice parameters (Å, degrees): 4.392 4.392 4.392 60.00 60.00 60.00
Sites, in units of the cell vectors:
1 Nb 0.000 0.000 0.000
2 Fe 0.500 0.500 0.500
3 Re 0.750 0.750 0.750
4 Ru 0.250 0.250 0.250



[4]
Below is crystalline NbFeReS2 at its relaxed geometry, with properties calculated at the GGA-PBE level.

Output
V ... 18.1 Å³/atom
Calculated density ... 7.30 g/cm³
Space group ... No. 123
M_tot ... 1.6 Bohr magnetons per cell
Raw total energy ... -6.807 eV/atom

Lattice parameters (Å, degrees): 4.497 4.497 4.487 90.00 90.00 90.00
Sites, in units of the cell vectors:
1 Nb 0.000 0.000 0.000
2 Fe 0.500 0.500 0.000
3 Re 0.500 0.500 0.500
4 S 0.000 0.500 0.500
5 S 0.500 0.000 0.500